No. 1
Below is CsU2I8 after structural relaxation, with properties calculated at the PBE level.

Results
calculated volume	61.79	Å³ per atom
electronic total energy	-45.1	eV for the cell shown
ρ	4.0	Mg/m³

Lattice parameters (Å, degrees): 11.2612 11.2612 6.1885 90.00 90.00 120.00
With the nearest neighbours (Å) after each atom.
Fractional coordinates of all 11 atoms:
Cs 0.0000 0.0000 0.0000  6 I 3.93
U 0.3333 0.6667 0.2602  5 I 2.94-3.14
U 0.6667 0.3333 0.7398  5 I 2.94-3.14
I 0.1812 0.3648 0.2712  1 U 2.94
I 0.1836 0.8188 0.2712  1 U 2.94
I 0.3333 0.6667 0.7674  2 U 3.05-3.14
I 0.3648 0.1836 0.7288  1 U 2.94
I 0.6352 0.8164 0.2712  1 U 2.94
I 0.6667 0.3333 0.2326  2 U 3.05-3.14
I 0.8164 0.1812 0.7288  1 U 2.94
I 0.8188 0.6352 0.7288  1 U 2.94



No. 2
Below is Pm2AsN after structural relaxation, with properties calculated at the PBE level.

Results
calculated volume	27.23	Å³ per atom
E above lowest polymorph	30.6	meV/atom
ρ	5.8	Mg/m³

Lattice parameters (Å, degrees): 4.1922 4.1922 7.1558 90.08 90.08 60.00
With the nearest neighbours (Å) after each atom.
Fractional coordinates of all 4 atoms:
Pm 0.0000 0.0000 0.0000  3 N 2.50
Pm 0.6673 0.6673 0.4161  1 N 2.35
As 0.0010 0.0010 0.6028  4 Pm 2.76-2.84
N 0.6668 0.6668 0.0882  4 Pm 2.35-2.50



No. 3
Below is SrScCl after structural relaxation, with properties calculated at the PBE level.

Results
calculated volume	28.25	Å³ per atom
E above lowest polymorph	0.0	meV/atom
ρ	3.3	Mg/m³

Lattice parameters (Å, degrees): 3.7445 3.7445 6.9797 90.00 90.00 120.00
With the nearest neighbours (Å) after each atom.
Fractional coordinates of all 3 atoms:
Sr 0.0000 0.0000 0.0000  3 Cl 3.17
Sc 0.3333 0.6667 0.5964  3 Cl 2.84
Cl 0.6667 0.3333 0.3317  3 Sc 2.84, 3 Sr 3.17



No. 4
Below is RbUTl2Se5 after structural relaxation, with properties calculated at the PBE level.

Results
calculated volume	34.50	Å³ per atom
electronic total energy	-41.2	eV for the cell shown
ρ	6.0	Mg/m³

Lattice parameters (Å, degrees): 9.2753 9.2753 9.2753 145.58 136.06 56.98
With the nearest neighbours (Å) after each atom.
Fractional coordinates of all 9 atoms:
Rb 0.0000 0.0000 0.0000  10 Se 3.47-3.77
U 0.5000 0.5000 0.0000  6 Se 2.66-2.74
Tl 0.3009 0.8009 0.5000  7 Se 3.25-3.52
Tl 0.6991 0.1991 0.5000  7 Se 3.25-3.52
Se 0.1212 0.3791 0.7421  1 U 2.66
Se 0.3629 0.6209 0.7421  1 U 2.66
Se 0.5000 0.0000 0.5000  2 U 2.74
Se 0.6371 0.3791 0.2579  1 U 2.66
Se 0.8788 0.6209 0.2579  1 U 2.66



No. 5
Below is CuReO4 after structural relaxation, with properties calculated at the PBE level.

Results
calculated volume	21.10	Å³ per atom
electronic total energy	-44.2	eV for the cell shown
ρ	4.1	Mg/m³

Lattice parameters (Å, degrees): 5.8621 5.8621 5.8621 126.26 126.26 79.47
With the nearest neighbours (Å) after each atom.
Fractional coordinates of all 6 atoms:
Cu 0.0000 0.0000 0.0000  4 O 1.97
Re 0.7500 0.2500 0.5000  4 O 1.77
O 0.3965 0.2643 0.3891  1 Re 1.77, 1 Cu 1.97
O 0.7357 0.1247 0.1322  1 Re 1.77, 1 Cu 1.97
O 0.8753 0.0075 0.6109  1 Re 1.77, 1 Cu 1.97
O 0.9925 0.6035 0.8678  1 Re 1.77, 1 Cu 1.97



No. 6
Below is Ba3Pd3Au2 after structural relaxation, with properties calculated at the PBE level.

Results
calculated volume	29.43	Å³ per atom
ΔE_f	-56	kJ/mol of atoms
ρ	7.9	Mg/m³

Lattice parameters (Å, degrees): 6.3324 6.3324 16.9759 90.00 90.00 136.23
With the nearest neighbours (Å) after each atom.
Fractional coordinates of all 16 atoms:
Ba 0.0876 0.9124 0.7500  5 Pd 3.31-3.44, 4 Au 3.40
Ba 0.3682 0.6318 0.5884  4 Au 3.41-3.49, 7 Pd 3.43-3.71
Ba 0.3682 0.6318 0.9116  4 Au 3.41-3.49, 7 Pd 3.43-3.71
Ba 0.6318 0.3682 0.0884  4 Au 3.41-3.49, 7 Pd 3.43-3.71
Ba 0.6318 0.3682 0.4116  4 Au 3.41-3.49, 7 Pd 3.43-3.71
Ba 0.9124 0.0876 0.2500  5 Pd 3.31-3.44, 4 Au 3.40
Pd 0.0803 0.9197 0.5553  1 Pd 2.66, 2 Au 2.75
Pd 0.0803 0.9197 0.9447  1 Pd 2.66, 2 Au 2.75
Pd 0.1999 0.8001 0.2500  2 Au 2.79
Pd 0.8001 0.1999 0.7500  2 Au 2.79
Pd 0.9197 0.0803 0.0553  1 Pd 2.66, 2 Au 2.75
Pd 0.9197 0.0803 0.4447  1 Pd 2.66, 2 Au 2.75
Au 0.3374 0.6626 0.1158  3 Pd 2.75-2.79
Au 0.3374 0.6626 0.3842  3 Pd 2.75-2.79
Au 0.6626 0.3374 0.6158  3 Pd 2.75-2.79
Au 0.6626 0.3374 0.8842  3 Pd 2.75-2.79



No. 7
Below is SrTlTcB2 after structural relaxation, with properties calculated at the PBE level.

Results
calculated volume	24.37	Å³ per atom
ΔE_f	280	kJ/mol of atoms
ρ	5.6	Mg/m³

Lattice parameters (Å, degrees): 4.5934 4.5934 5.7745 90.00 90.00 90.00
With the nearest neighbours (Å) after each atom.
Fractional coordinates of all 5 atoms:
Sr 0.0000 0.0000 0.0000  4 B 2.30
Tl 0.0000 0.0000 0.5000  2 Sr 2.89
Tc 0.5000 0.5000 0.5000  4 Tl 3.25
B 0.0000 0.5000 0.0000  2 Sr 2.30
B 0.5000 0.0000 0.0000  2 Sr 2.30



No. 8
Below is BaScOs after structural relaxation, with properties calculated at the PBE level.

Results
calculated volume	25.81	Å³ per atom
ΔE_f	149	kJ/mol of atoms
E above lowest polymorph	1298.4	meV/atom
ρ	8.0	Mg/m³

Lattice parameters (Å, degrees): 4.7841 4.7841 4.7841 60.00 60.00 60.00
With the nearest neighbours (Å) after each atom.
Fractional coordinates of all 3 atoms:
Ba 0.0000 0.0000 0.0000  4 Os 2.93, 4 Sc 2.93
Sc 0.2500 0.2500 0.2500  4 Ba 2.93
Os 0.7500 0.7500 0.7500  4 Ba 2.93



No. 9
Below is PaAlReOs after structural relaxation, with properties calculated at the PBE level.

Results
calculated volume	17.69	Å³ per atom
ΔE_f	-13	kJ/mol of atoms
ρ	14.9	Mg/m³

Lattice parameters (Å, degrees): 4.6430 4.6430 4.6430 60.00 60.00 60.00
With the nearest neighbours (Å) after each atom.
Fractional coordinates of all 4 atoms:
Pa 0.0000 0.0000 0.0000  4 Re 2.84, 4 Os 2.84
Al 0.5000 0.5000 0.5000  4 Os 2.84, 4 Re 2.84
Re 0.2500 0.2500 0.2500  4 Al 2.84, 4 Pa 2.84
Os 0.7500 0.7500 0.7500  4 Al 2.84, 4 Pa 2.84



No. 10
Below is TaCr3C after structural relaxation, with properties calculated at the PBE level.

Results
calculated volume	18.15	Å³ per atom
ΔE_f	304	kJ/mol of atoms
E above lowest polymorph	3134.3	meV/atom
ρ	6.4	Mg/m³

Lattice parameters (Å, degrees): 4.4936 4.4936 4.4936 90.00 90.00 90.00
With the nearest neighbours (Å) after each atom.
Fractional coordinates of all 5 atoms:
Ta 0.0000 0.0000 0.0000  6 Cr 2.25
Cr 0.0000 0.0000 0.5000  2 Ta 2.25
Cr 0.0000 0.5000 0.0000  2 Ta 2.25
Cr 0.5000 0.0000 0.0000  2 Ta 2.25
C 0.5000 0.5000 0.5000  12 Cr 3.18